Below is a relaxed structure of Li2SnAs, with properties calculated at the PBE level.

* energy above the lowest structure with this stoichiometry: 89 meV per atom
* space group: Fm-3m (225)

Structure (POSCAR):
```
Li2SnAs
1.0
4.014 -2.296 -0.954
0.001 -4.709 -0.349
0.602 -2.055 -4.208
Li As Sn
2 1 1
Cartesian
3.462 -6.795 -4.133
1.154 -2.265 -1.378
0.000 0.000 0.000
2.308 -4.530 -2.755
```

Below is a relaxed structure of LiSnAs, with properties calculated at the PBE level.

* energy above the lowest structure with this stoichiometry: 171 meV per atom
* space group: F-43m (216)

Structure (POSCAR):
```
LiSnAs
1.0
4.478 0.000 0.000
2.239 3.878 0.000
2.239 1.293 3.656
As Li Sn
1 1 1
Cartesian
0.000 0.000 0.000
2.239 1.293 0.914
4.478 2.585 1.828
```

Below is a relaxed structure of LiSn2As, with properties calculated at the PBE level.

* space group: R-3m (166)

Structure (POSCAR):
```
LiSn2As
1.0
-0.287 0.081 -3.798
-3.252 -1.047 -1.687
-4.130 8.188 -1.425
Sn As Li
2 1 1
Cartesian
-3.235 5.606 -1.548
-4.434 1.616 -5.363
-3.834 3.611 -3.455
0.000 0.000 0.000
```

Below is a relaxed structure of Li2SnAs2, with properties calculated at the PBE level.

* energy above the lowest structure with this stoichiometry: 0 meV per atom
* space group: P4/mbm (127)

Structure (POSCAR):
```
Li2SnAs2
1.0
-1.188 -7.752 -1.822
7.727 -0.677 -2.159
0.696 -0.747 2.725
Sn As Li
2 4 4
Cartesian
0.000 0.000 0.000
3.269 -4.214 -1.990
5.988 -3.078 -2.373
4.235 -6.852 -2.960
2.303 -1.576 -1.020
0.550 -5.351 -1.607
2.232 -7.445 -1.057
0.832 -3.394 0.411
5.002 -1.731 -0.198
6.402 -5.782 -1.666
```

Calculated magnetization in order - 0.000 0.000 0.000 0.000 μB/cell
Calculated total DFT energy (no corrections) in order - -3.456 -3.725 -3.590 -3.805 eV/atom
Calculated DFT formation energy in order - -336.4 -203.3 52.1 -379.5 meV/atom